1.
NaSICl2, optimized geometry, DFT PBE; M_tot = 0.0 μB/f.u.; raw formation energy = -0.25 eV per atom; N(E_F) = 0.39 states/eV per atom; relative energy among the computed polymorphs = 0 meV/atom; E = -2.389 eV/atom
1.0
-3.995 3.199 -2.273
-2.231 -4.520 -2.441
-2.976 -0.770 4.146
S Cl I Na
1 2 1 1
Direct
0.000 0.000 0.500
0.500 0.000 0.000
0.000 0.500 0.000
0.000 0.000 0.000
0.500 0.500 0.500

***

2.
SmCdSn2, optimized geometry, DFT PBE; M_tot = 0.0 μB/f.u.; E_form = -0.305 eV/atom; N(E_F) = 0.73 states/eV per atom; relative energy among the computed polymorphs = 185 meV/atom; E = -3.715 eV/atom
1.0
3.953 0.000 0.000
0.000 3.953 0.000
0.000 0.000 6.800
Sn Sm Cd
2 1 1
Direct
0.000 0.000 0.726
0.000 0.000 0.274
0.500 0.500 0.000
0.500 0.500 0.500

***

3.
Cd2InW, optimized geometry, DFT PBE; M_tot = 0.3 μB/f.u.; E_form = 0.639 eV/atom; N(E_F) = 0.93 states/eV per atom; E = -3.741 eV/atom
1.0
-1.343 -5.236 0.934
-0.376 -3.196 -4.443
3.684 3.536 2.005
In W Cd
1 1 2
Direct
0.500 0.500 0.000
0.750 0.250 0.500
0.000 0.000 0.000
0.250 0.750 0.500

***

4.
Nd5Ge2O12, optimized geometry, DFT PBE; M_tot = 1.1 μB/f.u.; raw formation energy = -2.77 eV per atom; N(E_F) = 0.66 states/eV per atom; E = -7.644 eV/atom
1.0
-2.630 -4.038 -3.495
1.715 -2.277 6.410
-6.641 3.608 0.829
O Nd Ge
12 5 2
Direct
0.413 0.310 0.076
0.587 0.690 0.924
0.103 0.690 0.924
0.095 0.691 0.421
0.499 0.998 0.171
0.001 0.003 0.173
0.905 0.309 0.579
0.897 0.310 0.076
0.404 0.309 0.579
0.999 0.997 0.827
0.501 0.002 0.829
0.596 0.691 0.421
0.305 0.610 0.163
0.000 0.000 0.500
0.308 0.616 0.644
0.695 0.390 0.837
0.692 0.384 0.356
0.244 0.000 0.000
0.756 0.000 0.000

***

5.
ThFe3Ge3, optimized geometry, DFT PBE; M_tot = 4.8 μB/f.u.; E_form = 0.200 eV/atom; N(E_F) = 1.19 states/eV per atom; relative energy among the computed polymorphs = 453 meV/atom; E = -6.465 eV/atom
1.0
6.446 0.000 0.000
0.000 6.446 0.000
0.000 0.000 6.446
Ge Fe Th
6 6 2
Direct
0.000 0.250 0.500
0.750 0.500 0.000
0.500 0.000 0.750
0.250 0.500 0.000
0.500 0.000 0.250
0.000 0.750 0.500
0.250 0.000 0.500
0.500 0.250 0.000
0.750 0.000 0.500
0.000 0.500 0.250
0.500 0.750 0.000
0.000 0.500 0.750
0.500 0.500 0.500
0.000 0.000 0.000

***

6.
CdPN3, optimized geometry, DFT PBE; M_tot = 2.8 μB/f.u.; raw formation energy = 2.77 eV per atom; N(E_F) = 0.41 states/eV per atom; E = -3.488 eV/atom
1.0
4.211 0.000 0.000
0.000 4.211 0.000
0.000 0.000 4.211
Cd N P
1 3 1
Direct
0.000 0.000 0.000
0.000 0.500 0.000
0.500 0.000 0.000
0.000 0.000 0.500
0.500 0.500 0.500

***

7.
HfReN, optimized geometry, DFT PBE; M_tot = 0.0 μB/f.u.; raw formation energy = -0.74 eV per atom; N(E_F) = 0.62 states/eV per atom; E = -10.987 eV/atom
1.0
3.789 -0.008 -0.322
1.886 3.286 -0.322
0.630 0.364 7.409
Hf Re N
2 2 2
Direct
0.210 0.210 0.498
0.543 0.543 0.810
0.210 0.210 0.079
0.543 0.543 0.228
0.543 0.543 0.514
0.210 0.210 0.793

***

8.
HfTh2Zr, optimized geometry, DFT PBE; M_tot = 0.0 μB/f.u.; E_form = 0.178 eV/atom; N(E_F) = 1.51 states/eV per atom; relative energy among the computed polymorphs = 25 meV/atom; E = -8.157 eV/atom
1.0
3.399 0.000 0.000
1.700 2.944 0.000
1.700 0.981 10.947
Zr Th Hf
1 2 1
Direct
0.499 0.499 0.502
0.250 0.250 0.249
0.083 0.083 0.751
0.667 0.667 0.998

***

9.
TaBeIr2Au, optimized geometry, DFT PBE; M_tot = 0.0 μB/f.u.; E_form = 0.345 eV/atom; N(E_F) = 1.07 states/eV per atom; E = -6.970 eV/atom
1.0
4.167 0.000 0.000
0.000 4.383 0.000
0.000 0.000 4.167
Ir Au Be Ta
2 1 1 1
Direct
0.000 0.000 0.500
0.500 0.000 0.000
0.500 0.500 0.500
0.000 0.000 0.000
0.000 0.500 0.000

***

10.
ZnCr2I, optimized geometry, DFT PBE; M_tot = 0.0 μB/f.u.; raw formation energy = 1.05 eV per atom; N(E_F) = 0.83 states/eV per atom; relative energy among the computed polymorphs = 107 meV/atom; E = -4.467 eV/atom
1.0
3.949 0.000 0.000
0.000 3.949 0.000
1.974 1.974 9.021
Cr I Zn
4 2 2
Direct
0.210 0.625 0.250
0.875 0.790 0.750
0.540 0.125 0.250
0.375 0.460 0.750
0.750 0.250 0.500
0.000 0.000 0.000
0.250 0.750 0.500
0.500 0.500 0.000

***

11.
BaTh2Se4, optimized geometry, DFT PBE; M_tot = 0.0 μB/f.u.; raw formation energy = -1.72 eV per atom; N(E_F) = 0.52 states/eV per atom; relative energy among the computed polymorphs = 31 meV/atom; E = -6.104 eV/atom
1.0
-3.697 -1.157 1.654
-3.781 -4.593 -11.664
6.003 -14.048 3.586
Se Ba Th
16 4 8
Direct
0.250 0.621 0.966
0.250 0.121 0.534
0.750 0.804 0.159
0.750 0.879 0.466
0.750 0.967 0.719
0.750 0.379 0.034
0.250 0.891 0.914
0.750 0.467 0.781
0.250 0.033 0.281
0.750 0.109 0.086
0.750 0.304 0.341
0.250 0.391 0.586
0.250 0.696 0.659
0.250 0.533 0.219
0.250 0.196 0.841
0.750 0.609 0.414
0.750 0.226 0.674
0.750 0.726 0.826
0.250 0.774 0.326
0.250 0.274 0.174
0.750 0.092 0.402
0.250 0.953 0.095
0.750 0.547 0.595
0.250 0.453 0.405
0.250 0.408 0.902
0.750 0.047 0.905
0.250 0.908 0.598
0.750 0.592 0.098

***

12.
La5Ga4Cu, optimized geometry, DFT PBE; M_tot = 0.0 μB/f.u.; E_form = -0.476 eV/atom; N(E_F) = 0.91 states/eV per atom; E = -4.560 eV/atom
1.0
3.720 0.000 0.000
0.000 3.720 0.000
0.000 0.000 19.084
La Ga Cu
5 4 1
Direct
0.500 0.500 0.298
0.500 0.500 0.098
0.500 0.500 0.902
0.500 0.500 0.702
0.500 0.500 0.500
0.000 0.000 0.399
0.000 0.000 0.804
0.000 0.000 0.196
0.000 0.000 0.601
0.000 0.000 0.000

***

13.
FeIrRu2, optimized geometry, DFT PBE; M_tot = 2.2 μB/f.u.; E_form = 0.042 eV/atom; N(E_F) = 1.19 states/eV per atom; relative energy among the computed polymorphs = 41 meV/atom; E = -8.927 eV/atom
1.0
2.703 0.000 0.000
0.000 3.755 0.000
0.000 0.000 5.358
Ru Ir Fe
2 1 1
Direct
0.000 0.000 0.007
0.500 0.500 0.252
0.500 0.500 0.741
0.000 0.000 0.499

***

14.
RbSn2Pb5, optimized geometry, DFT PBE; M_tot = 0.0 μB/f.u.; E_form = -0.040 eV/atom; N(E_F) = 0.53 states/eV per atom; E = -3.479 eV/atom
1.0
-3.034 1.621 -2.960
3.554 -0.761 -7.538
-3.297 -6.705 -3.770
Pb Rb Sn
5 1 2
Direct
0.000 0.500 0.500
0.648 0.166 0.538
0.352 0.462 0.834
0.352 0.834 0.462
0.648 0.538 0.166
0.000 0.000 0.000
0.740 0.760 0.760
0.260 0.240 0.240

***

15.
PmDySnTe, optimized geometry, DFT PBE; M_tot = 0.0 μB/f.u.; raw formation energy = -1.08 eV per atom; N(E_F) = 0.34 states/eV per atom; E = -5.200 eV/atom
1.0
-3.503 2.066 1.774
-0.975 -0.573 4.290
2.735 6.189 3.743
Te Pm Dy Sn
1 1 1 1
Direct
0.192 0.192 0.425
0.948 0.948 0.156
0.440 0.440 0.679
0.696 0.696 0.911

***

16.
AlFeAs2Br, optimized geometry, DFT PBE; M_tot = 3.3 μB/f.u.; raw formation energy = 0.77 eV per atom; N(E_F) = 1.48 states/eV per atom; relative energy among the computed polymorphs = 397 meV/atom; E = -3.863 eV/atom
1.0
-0.594 0.524 4.804
3.394 -3.401 0.791
3.537 3.541 0.052
Fe As Al Br
1 2 1 1
Direct
0.500 0.500 0.500
0.000 0.500 0.000
0.500 0.000 0.000
0.000 0.000 0.000
0.000 0.000 0.500

***

17.
CePr2DySe5, optimized geometry, DFT PBE; M_tot = 1.6 μB/f.u.; raw formation energy = -1.30 eV per atom; N(E_F) = 1.43 states/eV per atom; E = -5.473 eV/atom
1.0
5.153 0.000 0.000
0.000 5.153 0.000
0.000 0.000 11.035
Se Pr Dy Ce
5 2 1 1
Direct
0.000 0.500 0.500
0.000 0.000 0.251
0.500 0.500 0.000
0.500 0.000 0.500
0.000 0.000 0.749
0.500 0.500 0.675
0.500 0.500 0.325
0.000 0.000 0.500
0.000 0.000 0.000

***

18.
CaMg2ZnHg4, optimized geometry, DFT PBE; M_tot = 0.0 μB/f.u.; E_form = -0.226 eV/atom; N(E_F) = 0.41 states/eV per atom; E = -1.185 eV/atom
1.0
4.954 0.000 0.000
2.477 4.290 0.000
2.477 1.430 8.618
Mg Hg Ca Zn
2 4 1 1
Direct
0.757 0.757 0.728
0.243 0.243 0.272
0.614 0.614 0.158
0.127 0.127 0.619
0.386 0.386 0.842
0.873 0.873 0.381
0.000 0.000 0.000
0.500 0.500 0.500

***

19.
YbB2H6, optimized geometry, DFT PBE; M_tot = 0.0 μB/f.u.; N(E_F) = 0.32 states/eV per atom; E = -2.621 eV/atom
1.0
-4.423 0.573 0.486
-1.886 -0.426 4.048
-1.572 3.620 2.134
H B Yb
6 2 1
Direct
0.648 0.352 0.648
0.648 0.648 0.352
0.352 0.648 0.648
0.352 0.352 0.648
0.648 0.352 0.352
0.352 0.648 0.352
0.750 0.750 0.750
0.250 0.250 0.250
0.000 0.000 0.000

***

20.
IrAu2Br8, optimized geometry, DFT PBE; M_tot = 1.0 μB/f.u.; raw formation energy = -0.07 eV per atom; N(E_F) = 0.73 states/eV per atom; E = -2.687 eV/atom
1.0
-8.241 0.389 3.211
-3.469 -5.634 -3.470
-1.145 -4.919 4.323
Br Ir Au
8 1 2
Direct
0.937 0.275 0.155
0.718 0.066 0.958
0.614 0.607 0.472
0.386 0.393 0.528
0.063 0.725 0.845
0.900 0.789 0.389
0.100 0.211 0.611
0.282 0.934 0.042
0.000 0.000 0.000
0.441 0.771 0.752
0.559 0.229 0.248

***

21.
CuBSe3, optimized geometry, DFT PBE; M_tot = 0.0 μB/f.u.; raw formation energy = -0.04 eV per atom; N(E_F) = 0.56 states/eV per atom; relative energy among the computed polymorphs = 0 meV/atom; E = -4.283 eV/atom
1.0
-1.584 -1.377 2.300
4.717 -3.944 0.888
2.038 8.834 6.691
Se Cu B
6 2 2
Direct
0.750 0.863 0.775
0.250 0.747 0.443
0.250 0.088 0.225
0.750 0.594 0.178
0.250 0.416 0.822
0.750 0.304 0.557
0.250 0.041 0.649
0.750 0.392 0.351
0.750 0.524 0.734
0.250 0.790 0.266

***

22.
AlRh2Pb, optimized geometry, DFT PBE; M_tot = 0.0 μB/f.u.; E_form = -0.426 eV/atom; N(E_F) = 0.74 states/eV per atom; E = -5.964 eV/atom
1.0
-2.965 -0.008 -0.806
0.803 -0.261 -2.954
-0.138 -6.962 0.578
Rh Al Pb
2 1 1
Direct
0.000 0.000 0.041
0.000 0.000 0.459
0.500 0.500 0.250
0.500 0.500 0.750

***

23.
CaPRu, optimized geometry, DFT PBE; M_tot = 0.0 μB/f.u.; E_form = 0.817 eV/atom; N(E_F) = 1.41 states/eV per atom; E = -4.746 eV/atom
1.0
4.468 0.000 0.000
2.234 3.869 0.000
2.234 1.290 3.648
P Ru Ca
1 1 1
Direct
0.000 0.000 0.000
0.500 0.500 0.500
0.750 0.750 0.750

***

24.
SiNiB, optimized geometry, DFT PBE; M_tot = 0.0 μB/f.u.; raw formation energy = -0.02 eV per atom; N(E_F) = 0.24 states/eV per atom; E = -5.976 eV/atom
1.0
-1.779 2.349 0.034
-1.933 -1.437 -1.939
-4.179 -3.224 4.090
B Si Ni
2 2 2
Direct
0.750 0.467 0.067
0.250 0.533 0.933
0.250 0.885 0.230
0.750 0.115 0.770
0.250 0.692 0.615
0.750 0.308 0.385